Computed, not measured: an optimized crystal structure of Ho2Sc2CBr5 at the PBE level of DFT.

Cell: 8.973 8.973 8.051 Å, 102.53 102.53 23.80°
Positions (direct):
Ho: 0.001 0.001 0.299
Ho: 0.999 0.999 0.701
Sc: 0.369 0.369 0.433
Sc: 0.631 0.631 0.567
C: 0.500 0.500 0.500
Br: 0.165 0.165 0.821
Br: 0.169 0.169 0.346
Br: 0.500 0.500 0.000
Br: 0.831 0.831 0.654
Br: 0.835 0.835 0.179

Results
DFT total energy (Ha/atom): -0.1969
Symmetry: C2/m (12)
ΔE to the lowest computed polymorph (meV/atom): 0
Spin magnetization (μB/f.u.): 0.169